# 1
This record from the Alexandria database describes a relaxed CsTlO2 crystal. The functional is GGA-PBE.

Cell lengths 4.782, 4.782, 4.782 Å; angles 60.00, 60.00, 60.00 degrees
Atoms (fractional coordinates):
Cs  0.000  0.000  0.000
Tl  0.500  0.500  0.500
O  0.250  0.250  0.250
O  0.750  0.750  0.750

Values from the calculation:
E_form (uncorrected)	-0.13	eV per atom
calculated volume	19.33	Å³ per atom
space group	No. 225
magnetization	0.0	μB/cell

***

# 2
This record from the Alexandria database describes a relaxed CsTlO2 crystal. The functional is GGA-PBE.

Cell lengths 6.481, 6.481, 6.142 Å; angles 113.67, 113.67, 95.65 degrees
Atoms (fractional coordinates):
Cs  0.138  0.862  0.750
Cs  0.862  0.138  0.250
Tl  0.443  0.557  0.250
Tl  0.557  0.443  0.750
O  0.234  0.421  0.832
O  0.421  0.234  0.332
O  0.579  0.766  0.668
O  0.766  0.579  0.168

Values from the calculation:
E_form (uncorrected)	-0.95	eV per atom
calculated volume	25.72	Å³ per atom
space group	No. 15
magnetization	0.0	μB/cell

***

- The highest calculated volume belongs to which entry?
  number 2

***

- Among the records above, which one has the lowest E_form (uncorrected)?
  number 2